Record 1
The following is a PBEsol calculation of a relaxed ScSb2Pt crystal, from Alexandria via LeMat-Bulk.

- SG = I-4m2
- energy relative to the lowest polymorph listed for this composition (meV per atom) = 0.0
- energy relative to the elements, uncorrected (meV per atom) = -544.8
- total moment (μB per atom) = 0.000
- E (eV/atom) = -6.22

Geometry as CIF:
```
data_ScSb2Pt
_space_group_name_H-M_alt 'P 1'
_space_group_IT_number 1
_cell_length_a 4.062
_cell_length_b 4.062
_cell_length_c 5.655
_cell_angle_alpha 111.05
_cell_angle_beta 111.05
_cell_angle_gamma 90.00
loop_
_space_group_symop_operation_xyz
'x,y,z'
loop_
_atom_site_label
_atom_site_type_symbol
_atom_site_fract_x
_atom_site_fract_y
_atom_site_fract_z
Pt1 Pt 0.250 0.750 0.500
Sb1 Sb 0.000 0.000 0.000
Sb2 Sb 0.750 0.250 0.500
Sc1 Sc 0.500 0.500 0.000
```

=====

Record 2
The following is a PBEsol calculation of a relaxed ScSb2Pt crystal, from Alexandria via LeMat-Bulk.

- SG = Fm-3m
- energy relative to the lowest polymorph listed for this composition (meV per atom) = 235.3
- energy relative to the elements, uncorrected (meV per atom) = -309.5
- total moment (μB per atom) = 0.001
- E (eV/atom) = -5.98

Geometry as CIF:
```
data_ScSb2Pt
_space_group_name_H-M_alt 'P 1'
_space_group_IT_number 1
_cell_length_a 4.871
_cell_length_b 4.871
_cell_length_c 4.871
_cell_angle_alpha 60.00
_cell_angle_beta 60.00
_cell_angle_gamma 60.00
loop_
_space_group_symop_operation_xyz
'x,y,z'
loop_
_atom_site_label
_atom_site_type_symbol
_atom_site_fract_x
_atom_site_fract_y
_atom_site_fract_z
Pt1 Pt 0.000 0.000 0.000
Sb1 Sb 0.750 0.750 0.750
Sb2 Sb 0.250 0.250 0.250
Sc1 Sc 0.500 0.500 0.500
```

=====

Record 3
The following is a PBEsol calculation of a relaxed ScSbPt2 crystal, from Alexandria via LeMat-Bulk.

- SG = P4mm
- energy relative to the elements, uncorrected (meV per atom) = -678.6
- total moment (μB per atom) = 0.000
- E (eV/atom) = -6.95

Geometry as CIF:
```
data_ScSbPt2
_space_group_name_H-M_alt 'P 1'
_space_group_IT_number 1
_cell_length_a 3.640
_cell_length_b 3.640
_cell_length_c 5.586
_cell_angle_alpha 90.00
_cell_angle_beta 90.00
_cell_angle_gamma 90.00
loop_
_space_group_symop_operation_xyz
'x,y,z'
loop_
_atom_site_label
_atom_site_type_symbol
_atom_site_fract_x
_atom_site_fract_y
_atom_site_fract_z
Pt1 Pt 0.000 0.000 0.970
Pt2 Pt 0.500 0.500 0.285
Sb1 Sb 0.000 0.000 0.451
Sc1 Sc 0.500 0.500 0.794
```

=====

Record 4
The following is a PBEsol calculation of a relaxed Sr2ScSbPt crystal, from Alexandria via LeMat-Bulk.

- SG = P4/mmm
- energy relative to the elements, uncorrected (meV per atom) = -113.1
- total moment (μB per atom) = 0.191
- E (eV/atom) = -4.47

Geometry as CIF:
```
data_Sr2ScSbPt
_space_group_name_H-M_alt 'P 1'
_space_group_IT_number 1
_cell_length_a 5.099
_cell_length_b 5.703
_cell_length_c 5.703
_cell_angle_alpha 90.00
_cell_angle_beta 90.00
_cell_angle_gamma 90.00
loop_
_space_group_symop_operation_xyz
'x,y,z'
loop_
_atom_site_label
_atom_site_type_symbol
_atom_site_fract_x
_atom_site_fract_y
_atom_site_fract_z
Sc1 Sc 0.500 0.500 0.500
Sb1 Sb 0.500 0.000 0.000
Pt1 Pt 0.000 0.000 0.000
Sr1 Sr 0.000 0.000 0.500
Sr2 Sr 0.000 0.500 0.000
```

=====

Record 5
The following is a PBEsol calculation of a relaxed Sc2SbPtW crystal, from Alexandria via LeMat-Bulk.

- SG = P4/mmm
- energy relative to the elements, uncorrected (meV per atom) = 677.9
- total moment (μB per atom) = 0.000
- E (eV/atom) = -7.03

Geometry as CIF:
```
data_Sc2SbPtW
_space_group_name_H-M_alt 'P 1'
_space_group_IT_number 1
_cell_length_a 4.898
_cell_length_b 4.898
_cell_length_c 4.992
_cell_angle_alpha 90.00
_cell_angle_beta 90.00
_cell_angle_gamma 90.00
loop_
_space_group_symop_operation_xyz
'x,y,z'
loop_
_atom_site_label
_atom_site_type_symbol
_atom_site_fract_x
_atom_site_fract_y
_atom_site_fract_z
Sc1 Sc 0.000 0.500 0.000
Sc2 Sc 0.500 0.000 0.000
Sb1 Sb 0.000 0.000 0.500
W1 W 0.000 0.000 0.000
Pt1 Pt 0.500 0.500 0.500
```

=====

Record 6
The following is a PBEsol calculation of a relaxed SbPt2Se crystal, from Alexandria via LeMat-Bulk.

- SG = C2/m
- energy relative to the elements, uncorrected (meV per atom) = -144.1
- total moment (μB per atom) = 0.000
- E (eV/atom) = -5.73

Geometry as CIF:
```
data_SbPt2Se
_space_group_name_H-M_alt 'P 1'
_space_group_IT_number 1
_cell_length_a 3.751
_cell_length_b 3.756
_cell_length_c 6.608
_cell_angle_alpha 106.41
_cell_angle_beta 90.00
_cell_angle_gamma 119.95
loop_
_space_group_symop_operation_xyz
'x,y,z'
loop_
_atom_site_label
_atom_site_type_symbol
_atom_site_fract_x
_atom_site_fract_y
_atom_site_fract_z
Pt1 Pt 0.752 0.504 0.756
Pt2 Pt 0.248 0.496 0.244
Sb1 Sb 0.000 0.000 0.500
Se1 Se 0.500 0.000 0.000
```

=====

Record 7
The following is a PBEsol calculation of a relaxed SbPtSe crystal, from Alexandria via LeMat-Bulk.

- SG = F-43m
- energy relative to the elements, uncorrected (meV per atom) = 325.6
- total moment (μB per atom) = 0.000
- E (eV/atom) = -4.80

Geometry as CIF:
```
data_SbPtSe
_space_group_name_H-M_alt 'P 1'
_space_group_IT_number 1
_cell_length_a 4.593
_cell_length_b 4.593
_cell_length_c 4.593
_cell_angle_alpha 60.00
_cell_angle_beta 60.00
_cell_angle_gamma 60.00
loop_
_space_group_symop_operation_xyz
'x,y,z'
loop_
_atom_site_label
_atom_site_type_symbol
_atom_site_fract_x
_atom_site_fract_y
_atom_site_fract_z
Sb1 Sb 0.250 0.250 0.250
Se1 Se 0.000 0.000 0.000
Pt1 Pt 0.500 0.500 0.500
```

=====

Record 8
The following is a PBEsol calculation of a relaxed SbPtSe crystal, from Alexandria via LeMat-Bulk.

- SG = F-43m
- energy relative to the elements, uncorrected (meV per atom) = -208.7
- total moment (μB per atom) = 0.000
- E (eV/atom) = -5.33

Geometry as CIF:
```
data_SbPtSe
_space_group_name_H-M_alt 'P 1'
_space_group_IT_number 1
_cell_length_a 4.527
_cell_length_b 4.527
_cell_length_c 4.527
_cell_angle_alpha 60.00
_cell_angle_beta 60.00
_cell_angle_gamma 60.00
loop_
_space_group_symop_operation_xyz
'x,y,z'
loop_
_atom_site_label
_atom_site_type_symbol
_atom_site_fract_x
_atom_site_fract_y
_atom_site_fract_z
Sb1 Sb 0.000 0.000 0.000
Se1 Se 0.500 0.500 0.500
Pt1 Pt 0.250 0.250 0.250
```

=====

Q: Among the records above, which one has the highest total moment?
A: Sr2ScSbPt

=====

Q: Which of these has the lowest E?
A: Sc2SbPtW